Material: YCO2
Method: DFT, PBE
State: optimized geometry

Computed properties:
* density of states at the Fermi level: 1.36 states/eV/f.u.
* uncorrected formation energy: -0.453 eV/atom
* spin magnetization: 0.0 Bohr magnetons per cell
* energy: -6.8537 eV per atom

Lattice parameters (Å, degrees): 4.1355 4.1355 6.8683 72.48 72.48 90.00
Closest atoms and distances in Å follow each position.
Sites, in units of the cell vectors:
1 O 0.1581 0.6250 0.2500  2 C 2.07, 2 Y 2.20
2 C 0.2500 0.7500 0.5000  4 O 2.07
3 Y 0.7500 0.2500 0.5000  4 O 2.20
4 Y 0.0000 0.0000 0.0000  4 O 2.20
5 O 0.3750 0.4081 0.7500  2 C 2.07, 2 Y 2.20
6 O 0.8750 0.8419 0.7500  2 C 2.07, 2 Y 2.20
7 O 0.5919 0.1250 0.2500  2 C 2.07, 2 Y 2.20
8 C 0.5000 0.5000 0.0000  4 O 2.07

***

Material: YCO2
Method: DFT, PBE
State: optimized geometry

Computed properties:
* density of states at the Fermi level: 1.94 states/eV/f.u.
* uncorrected formation energy: -0.501 eV/atom
* spin magnetization: 0.6 Bohr magnetons per cell
* energy: -6.9018 eV per atom

Lattice parameters (Å, degrees): 6.4775 6.4775 6.4775 29.41 29.41 29.41
Closest atoms and distances in Å follow each position.
Sites, in units of the cell vectors:
1 O 0.0677 0.0677 0.0677  1 C 1.26
2 C 0.0000 0.0000 0.0000  2 O 1.26
3 O 0.9323 0.9323 0.9323  1 C 1.26
4 Y 0.5000 0.5000 0.5000  6 O 2.64

***

Material: YZrCO2
Method: DFT, PBE
State: optimized geometry

Computed properties:
* density of states at the Fermi level: 1.82 states/eV/f.u.
* uncorrected formation energy: -1.604 eV/atom
* spin magnetization: 0.0 Bohr magnetons per cell
* energy: -8.4343 eV per atom

Lattice parameters (Å, degrees): 4.0948 4.3837 4.0948 90.00 90.00 90.00
Closest atoms and distances in Å follow each position.
Sites, in units of the cell vectors:
1 Y 0.5000 0.5000 0.5000  4 C 2.90, 8 O 3.00
2 C 0.0000 0.5000 0.0000  2 Zr 2.19
3 O 0.0000 0.0000 0.5000  2 Zr 2.05
4 Zr 0.0000 0.0000 0.0000  4 O 2.05, 2 C 2.19
5 O 0.5000 0.0000 0.0000  2 Zr 2.05

***

Material: ZnC2O4
Method: DFT, PBE
State: optimized geometry

Computed properties:
* density of states at the Fermi level: 0.00 states/eV/f.u.
* uncorrected formation energy: -1.219 eV/atom
* spin magnetization: 0.0 Bohr magnetons per cell
* energy: -6.8697 eV per atom

Lattice parameters (Å, degrees): 5.3525 5.3843 6.2982 60.46 90.00 90.00
Closest atoms and distances in Å follow each position.
Sites, in units of the cell vectors:
1 O 0.8066 0.3636 0.8551  1 C 1.27
2 C 0.1093 0.4530 0.0930  2 O 1.27
3 Zn 0.0000 0.0000 0.0000  4 O 1.99-2.16
4 O 0.8099 0.8009 0.8195  1 C 1.27
5 O 0.3066 0.6364 0.6449  1 C 1.27
6 C 0.6093 0.5470 0.4070  2 O 1.27
7 C 0.8907 0.5470 0.9070  2 O 1.27
8 O 0.1901 0.1991 0.1805  1 C 1.27
9 C 0.3907 0.4530 0.5930  2 O 1.27
10 O 0.1934 0.6364 0.1449  1 C 1.27
11 O 0.3099 0.1991 0.6805  1 C 1.27
12 O 0.6934 0.3636 0.3551  1 C 1.27
13 O 0.6901 0.8009 0.3195  1 C 1.27
14 Zn 0.5000 0.0000 0.5000  4 O 1.99-2.16